Record 1
A relaxed structure of Pu7GeBr12, computed with PBE.

a = 9.4699 Å, b = 9.4699 Å, c = 9.4698 Å
α = 107.48°, β = 107.48°, γ = 107.48°
With the nearest neighbours (Å) after each atom.
Atoms (fractional coordinates):
1 Br 0.6866 0.2216 0.0750  3 Pu 2.96-3.02
2 Br 0.3805 0.4620 0.1586  3 Pu 2.95-3.00
3 Br 0.7784 0.9250 0.3134  3 Pu 2.96-3.02
4 Br 0.0750 0.6866 0.2216  3 Pu 2.96-3.02
5 Br 0.8414 0.6195 0.5380  3 Pu 2.95-3.00
6 Br 0.9250 0.3134 0.7784  3 Pu 2.96-3.02
7 Br 0.3134 0.7784 0.9250  3 Pu 2.96-3.02
8 Br 0.6195 0.5380 0.8414  3 Pu 2.95-3.00
9 Br 0.1586 0.3805 0.4620  3 Pu 2.95-3.00
10 Br 0.5380 0.8414 0.6195  3 Pu 2.95-3.00
11 Br 0.4620 0.1586 0.3805  3 Pu 2.95-3.00
12 Br 0.2216 0.0750 0.6866  3 Pu 2.96-3.02
13 Pu 0.8847 0.9674 0.6639  1 Ge 2.92, 5 Br 2.96-3.02
14 Pu 0.1153 0.0326 0.3361  1 Ge 2.92, 5 Br 2.96-3.02
15 Pu 0.9674 0.6639 0.8847  1 Ge 2.92, 5 Br 2.96-3.02
16 Pu 0.5000 0.5000 0.5000  6 Br 2.95
17 Pu 0.0326 0.3361 0.1153  1 Ge 2.92, 5 Br 2.96-3.02
18 Pu 0.6639 0.8847 0.9674  1 Ge 2.92, 5 Br 2.96-3.02
19 Pu 0.3361 0.1153 0.0326  1 Ge 2.92, 5 Br 2.96-3.02
20 Ge 0.0000 0.0000 0.0000  6 Pu 2.92

## Properties
**Formation energy from raw total energies**: -1341 meV per atom
**E_tot**: -7.592 eV/atom
**D(E_F)**: 79.0 states/eV/cell
**Space-group type**: No. 148

***

Record 2
A relaxed structure of Pu2GeBr, computed with PBE.

a = 5.0576 Å, b = 5.0576 Å, c = 5.9360 Å
α = 64.79°, β = 64.79°, γ = 60.00°
With the nearest neighbours (Å) after each atom.
Atoms (fractional coordinates):
1 Pu 0.2092 0.2092 0.3725  1 Pu 2.58, 1 Br 2.86
2 Pu 0.0428 0.0428 0.8715  1 Pu 2.58
3 Ge 0.8543 0.8543 0.4372  4 Pu 2.92-2.94
4 Br 0.3937 0.3937 0.8189  4 Pu 2.86-2.93

## Properties
**Formation energy from raw total energies**: -127 meV per atom
**Offset from the most stable computed form**: 529 meV/atom
**E_tot**: -8.865 eV/atom
**D(E_F)**: 13.8 states/eV/cell
**Space-group type**: No. 160

***

Record 3
A relaxed structure of Rb2PuGeBr6, computed with PBE.

a = 8.1428 Å, b = 8.1739 Å, c = 11.5348 Å
α = 90.00°, β = 90.00°, γ = 90.00°
With the nearest neighbours (Å) after each atom.
Atoms (fractional coordinates):
1 Rb 0.0000 0.2430 0.2591  12 Br 3.99-4.22
2 Rb 0.5000 0.7570 0.7591  12 Br 3.99-4.22
3 Rb 0.5000 0.7570 0.2409  12 Br 3.99-4.22
4 Rb 0.0000 0.2430 0.7409  12 Br 3.99-4.22
5 Br 0.7503 0.5093 0.0000  1 Ge 2.84, 1 Pu 2.92
6 Br 0.2503 0.4907 0.5000  1 Ge 2.84, 1 Pu 2.92
7 Br 0.7471 0.0005 0.5000  1 Ge 2.86, 1 Pu 2.92
8 Br 0.2529 0.0005 0.5000  1 Ge 2.86, 1 Pu 2.92
9 Br 0.0000 0.7525 0.7531  1 Ge 2.85, 1 Pu 2.92
10 Br 0.7497 0.4907 0.5000  1 Ge 2.84, 1 Pu 2.92
11 Br 0.5000 0.2475 0.2531  1 Ge 2.85, 1 Pu 2.92
12 Br 0.5000 0.2475 0.7469  1 Ge 2.85, 1 Pu 2.92
13 Br 0.2471 0.9995 0.0000  1 Ge 2.86, 1 Pu 2.92
14 Br 0.2497 0.5093 0.0000  1 Ge 2.84, 1 Pu 2.92
15 Br 0.7529 0.9995 0.0000  1 Ge 2.86, 1 Pu 2.92
16 Br 0.0000 0.7525 0.2469  1 Ge 2.85, 1 Pu 2.92
17 Pu 0.0000 0.7467 0.5000  6 Br 2.92
18 Pu 0.5000 0.2533 0.0000  6 Br 2.92
19 Ge 0.0000 0.7515 0.0000  6 Br 2.84-2.86
20 Ge 0.5000 0.2485 0.5000  6 Br 2.84-2.86

## Properties
**Formation energy from raw total energies**: -1279 meV per atom
**E_tot**: -4.371 eV/atom
**D(E_F)**: 42.1 states/eV/cell
**Space-group type**: No. 59

***

Record 4
A relaxed structure of Rb2Ge2Br5, computed with PBE.

a = 5.7372 Å, b = 8.5322 Å, c = 8.1189 Å
α = 111.21°, β = 90.00°, γ = 109.65°
With the nearest neighbours (Å) after each atom.
Atoms (fractional coordinates):
1 Rb 0.3982 0.7965 0.7093  7 Br 3.50-3.68
2 Rb 0.6018 0.2035 0.2907  7 Br 3.50-3.68
3 Br 0.0000 0.0000 0.0000  2 Ge 2.91
4 Br 0.6430 0.2861 0.8813  2 Ge 2.87
5 Br 0.3570 0.7139 0.1187  2 Ge 2.87
6 Br 0.1566 0.3131 0.5592  1 Ge 2.59
7 Br 0.8434 0.6869 0.4408  1 Ge 2.59
8 Ge 0.1448 0.2896 0.8686  3 Br 2.59-2.87
9 Ge 0.8552 0.7104 0.1314  3 Br 2.59-2.87

## Properties
**Formation energy from raw total energies**: -885 meV per atom
**Offset from the most stable computed form**: 72 meV/atom
**E_tot**: -3.055 eV/atom
**D(E_F)**: 2.9 states/eV/cell
**Space-group type**: No. 12

***

Record 5
A relaxed structure of Rb3Ge2Br7, computed with PBE.

a = 5.5663 Å, b = 5.5663 Å, c = 14.7438 Å
α = 100.88°, β = 100.88°, γ = 90.00°
With the nearest neighbours (Å) after each atom.
Atoms (fractional coordinates):
1 Ge 0.1007 0.1007 0.2013  6 Br 2.75-2.86
2 Ge 0.8993 0.8993 0.7987  6 Br 2.75-2.86
3 Br 0.1974 0.1974 0.3949  1 Ge 2.75
4 Br 0.8026 0.8026 0.6051  1 Ge 2.75
5 Br 0.4023 0.9023 0.8047  2 Ge 2.78
6 Br 0.5977 0.0977 0.1953  2 Ge 2.78
7 Br 0.9023 0.4023 0.8047  2 Ge 2.78
8 Br 0.0000 0.0000 0.0000  2 Ge 2.86
9 Br 0.0977 0.5977 0.1953  2 Ge 2.78
10 Rb 0.3197 0.3197 0.6393  5 Br 3.47-3.64
11 Rb 0.5000 0.5000 0.0000  12 Br 3.93-3.94
12 Rb 0.6803 0.6803 0.3607  5 Br 3.47-3.64

## Properties
**Formation energy from raw total energies**: -1174 meV per atom
**Offset from the most stable computed form**: 16 meV/atom
**E_tot**: -3.162 eV/atom
**Space-group type**: No. 139

***

Record 6
A relaxed structure of RbGe3Br, computed with PBE.

a = 6.0622 Å, b = 6.0622 Å, c = 6.0622 Å
α = 90.00°, β = 90.00°, γ = 90.00°
With the nearest neighbours (Å) after each atom.
Atoms (fractional coordinates):
1 Ge 0.0000 0.5000 0.0000  2 Rb 3.03
2 Ge 0.0000 0.0000 0.5000  2 Rb 3.03
3 Ge 0.5000 0.0000 0.0000  2 Rb 3.03
4 Br 0.5000 0.5000 0.5000  12 Ge 4.29
5 Rb 0.0000 0.0000 0.0000  6 Ge 3.03

## Properties
**Formation energy from raw total energies**: 1575 meV per atom
**Offset from the most stable computed form**: 925 meV/atom
**E_tot**: -1.723 eV/atom
**D(E_F)**: 5.1 states/eV/cell
**Space-group type**: No. 221

***

Record 7
A relaxed structure of Rb3GeBr6, computed with PBE.

a = 8.3196 Å, b = 8.3196 Å, c = 8.3194 Å
α = 60.00°, β = 60.00°, γ = 90.00°
With the nearest neighbours (Å) after each atom.
Atoms (fractional coordinates):
1 Ge 0.5000 0.5000 0.0000  6 Br 2.65
2 Br 0.2749 0.2749 0.4501  1 Ge 2.65
3 Br 0.2749 0.7251 0.0000  1 Ge 2.65
4 Br 0.7251 0.7251 0.0000  1 Ge 2.65
5 Br 0.2749 0.2749 0.0000  1 Ge 2.65
6 Br 0.7251 0.7251 0.5499  1 Ge 2.65
7 Br 0.7251 0.2749 0.0000  1 Ge 2.65
8 Rb 0.0000 0.0000 0.0000  6 Br 3.23
9 Rb 0.2500 0.7500 0.5000  12 Br 4.17
10 Rb 0.7500 0.2500 0.5000  12 Br 4.17

## Properties
**Formation energy from raw total energies**: -1180 meV per atom
**Offset from the most stable computed form**: 16 meV/atom
**E_tot**: -2.936 eV/atom
**D(E_F)**: 7.1 states/eV/cell
**Space-group type**: No. 225

***

Record 8
A relaxed structure of Rb6GeBr8, computed with PBE.

a = 8.9098 Å, b = 8.9098 Å, c = 8.9098 Å
α = 69.46°, β = 69.46°, γ = 69.46°
With the nearest neighbours (Å) after each atom.
Atoms (fractional coordinates):
1 Rb 0.6994 0.0589 0.4816  7 Br 3.45-3.83
2 Rb 0.4816 0.6994 0.0589  7 Br 3.45-3.83
3 Rb 0.5184 0.3006 0.9411  7 Br 3.45-3.83
4 Rb 0.3006 0.9411 0.5184  7 Br 3.45-3.83
5 Rb 0.0589 0.4816 0.6994  7 Br 3.45-3.83
6 Rb 0.9411 0.5184 0.3006  7 Br 3.45-3.83
7 Br 0.8437 0.3090 0.0935  1 Ge 2.88
8 Br 0.6561 0.6561 0.6561  6 Rb 3.48-3.59
9 Br 0.3439 0.3439 0.3439  6 Rb 3.48-3.59
10 Br 0.3090 0.0935 0.8437  1 Ge 2.88
11 Br 0.0935 0.8437 0.3090  1 Ge 2.88
12 Br 0.6910 0.9065 0.1563  1 Ge 2.88
13 Br 0.9065 0.1563 0.6910  1 Ge 2.88
14 Br 0.1563 0.6910 0.9065  1 Ge 2.88
15 Ge 0.0000 0.0000 0.0000  6 Br 2.88

## Properties
**Formation energy from raw total energies**: -1490 meV per atom
**E_tot**: -3.077 eV/atom
**D(E_F)**: 0.0 states/eV/cell
**Space-group type**: No. 148

***

Record 9
A relaxed structure of RbGeBr2, computed with PBE.

a = 5.5766 Å, b = 5.5766 Å, c = 5.5766 Å
α = 60.00°, β = 60.00°, γ = 60.00°
With the nearest neighbours (Å) after each atom.
Atoms (fractional coordinates):
1 Ge 0.0000 0.0000 0.0000  8 Br 3.41
2 Br 0.2500 0.2500 0.2500  4 Rb 3.41, 4 Ge 3.41
3 Br 0.7500 0.7500 0.7500  4 Rb 3.41, 4 Ge 3.41
4 Rb 0.5000 0.5000 0.5000  8 Br 3.41

## Properties
**Formation energy from raw total energies**: -505 meV per atom
**Offset from the most stable computed form**: 131 meV/atom
**E_tot**: -2.737 eV/atom
**D(E_F)**: 2.9 states/eV/cell
**Space-group type**: No. 225

***

Record 10
A relaxed structure of RbGe3Br, computed with PBE.

a = 5.4232 Å, b = 5.4232 Å, c = 5.4232 Å
α = 90.00°, β = 90.00°, γ = 90.00°
With the nearest neighbours (Å) after each atom.
Atoms (fractional coordinates):
1 Ge 0.0000 0.5000 0.0000  2 Br 2.71
2 Ge 0.0000 0.0000 0.5000  2 Br 2.71
3 Ge 0.5000 0.0000 0.0000  2 Br 2.71
4 Br 0.0000 0.0000 0.0000  6 Ge 2.71
5 Rb 0.5000 0.5000 0.5000  12 Ge 3.83

## Properties
**Formation energy from raw total energies**: 650 meV per atom
**Offset from the most stable computed form**: 0 meV/atom
**E_tot**: -2.648 eV/atom
**D(E_F)**: 2.6 states/eV/cell
**Space-group type**: No. 221

***

Record 11
A relaxed structure of Rb2GeBr4, computed with PBE.

a = 7.4364 Å, b = 9.5460 Å, c = 15.4013 Å
α = 90.00°, β = 90.00°, γ = 90.00°
With the nearest neighbours (Å) after each atom.
Atoms (fractional coordinates):
1 Br 0.0051 0.7413 0.8880  1 Ge 2.50
2 Br 0.7500 0.1493 0.3973  1 Ge 3.21, 2 Rb 3.40-3.41
3 Br 0.0051 0.2413 0.6120  1 Ge 2.50
4 Br 0.5051 0.7587 0.3880  1 Ge 2.50
5 Br 0.7500 0.5640 0.6744  1 Ge 2.61
6 Br 0.9949 0.2587 0.1120  1 Ge 2.50
7 Br 0.7500 0.6493 0.1027  1 Ge 3.21, 2 Rb 3.40-3.41
8 Br 0.7500 0.0640 0.8256  1 Ge 2.61
9 Br 0.4949 0.7413 0.8880  1 Ge 2.50
10 Br 0.2500 0.4360 0.3256  1 Ge 2.61
11 Br 0.4949 0.2413 0.6120  1 Ge 2.50
12 Br 0.2500 0.8507 0.6027  1 Ge 3.21, 2 Rb 3.40-3.41
13 Br 0.2500 0.3507 0.8973  1 Ge 3.21, 2 Rb 3.40-3.41
14 Br 0.5051 0.2587 0.1120  1 Ge 2.50
15 Br 0.2500 0.9360 0.1744  1 Ge 2.61
16 Br 0.9949 0.7587 0.3880  1 Ge 2.50
17 Rb 0.7500 0.9084 0.5792  8 Br 3.60-3.78
18 Rb 0.2500 0.0375 0.7905  6 Br 3.40-3.77
19 Rb 0.2500 0.0916 0.4208  8 Br 3.60-3.78
20 Rb 0.2500 0.5375 0.7095  6 Br 3.40-3.77
21 Rb 0.7500 0.9625 0.2095  6 Br 3.40-3.77
22 Rb 0.2500 0.5916 0.0792  8 Br 3.60-3.78
23 Rb 0.7500 0.4084 0.9208  8 Br 3.60-3.78
24 Rb 0.7500 0.4625 0.2905  6 Br 3.40-3.77
25 Ge 0.7500 0.8793 0.9508  3 Br 2.50-2.61
26 Ge 0.2500 0.6207 0.4508  3 Br 2.50-2.61
27 Ge 0.2500 0.1207 0.0492  3 Br 2.50-2.61
28 Ge 0.7500 0.3793 0.5492  3 Br 2.50-2.61

## Properties
**Formation energy from raw total energies**: -1249 meV per atom
**Offset from the most stable computed form**: 5 meV/atom
**E_tot**: -3.141 eV/atom
**D(E_F)**: 0.0 states/eV/cell
**Space-group type**: No. 62

***

Record 12
A relaxed structure of Rb2GeBr4, computed with PBE.

a = 5.5439 Å, b = 5.5439 Å, c = 9.5561 Å
α = 73.14°, β = 73.14°, γ = 90.00°
With the nearest neighbours (Å) after each atom.
Atoms (fractional coordinates):
1 Br 0.1621 0.1621 0.6758  1 Ge 2.83
2 Br 0.0000 0.5000 0.0000  2 Ge 2.77
3 Br 0.8379 0.8379 0.3242  1 Ge 2.83
4 Br 0.5000 0.0000 0.0000  2 Ge 2.77
5 Rb 0.3598 0.3598 0.2804  5 Br 3.45-3.70
6 Rb 0.6402 0.6402 0.7196  5 Br 3.45-3.70
7 Ge 0.0000 0.0000 0.0000  6 Br 2.77-2.83

## Properties
**Formation energy from raw total energies**: -1254 meV per atom
**Offset from the most stable computed form**: 0 meV/atom
**E_tot**: -3.146 eV/atom
**Space-group type**: No. 139